5
Lattice="-4.003 -4.098 -2.224 -0.709 -2.362 5.629 -4.521 3.849 1.045" Properties=species:S:1:pos:R:3 comment="BiTe2IBr, relaxed, DFT PBE" dft_energy_ev_per_cell=-11.3 dos_at_fermi_per_ev_cell=5.2 space_group="No. 123" pbc="T T T"
Bi 0.000 0.000 0.000
I -2.261 1.924 0.523
Br -4.617 -1.306 2.225
Te -0.355 -1.181 2.814
Te -2.001 -2.049 -1.112



5
Lattice="6.042 0.000 0.000 0.000 6.042 0.000 0.000 0.000 6.325" Properties=species:S:1:pos:R:3 comment="BiTeI2Br, relaxed, DFT PBE" dft_energy_ev_per_cell=-10.8 dos_at_fermi_per_ev_cell=4.9 space_group="No. 123" pbc="T T T"
Te 0.000 0.000 3.163
Bi 0.000 0.000 0.000
I 3.021 0.000 0.000
I 0.000 3.021 0.000
Br 3.021 3.021 3.163